[1]
Below is a relaxed structure of KTlInBi2, with properties calculated at the GGA-PBE level.

The structure belongs to space group I-4m2 (No. 119); the cell edges are 5.2418, 5.2418 and 13.8234 Å and the angles 90.00°, 90.00° and 90.00°. The inequivalent atoms are K at (0.0000, 0.0000, 0.0000), Tl at (0.0000, 0.5000, 0.7500), In at (0.0000, 0.5000, 0.2500) and Bi at (0.0000, 0.0000, 0.3794).

The value obtained for the total DFT energy (no corrections) is -2.963 eV/atom.

[2]
Below is a relaxed structure of Pr6AgIr3, with properties calculated at the GGA-PBE level.

The structure belongs to space group Cmc2_1 (No. 36); the cell edges are 11.1566, 14.4732 and 7.4112 Å and the angles 90.00°, 90.00° and 90.00°. The inequivalent atoms are Pr at (0.0000, 0.0140, 0.0000), Pr at (0.0000, 0.2279, 0.3343), Pr at (0.1674, 0.4705, 0.3944), Pr at (0.1794, 0.2803, 0.9511), Ag at (0.0000, 0.1695, 0.7225), Ir at (0.0000, 0.3997, 0.1150) and Ir at (0.1860, 0.1113, 0.1941).

For the energy above the most stable polymorph in this dataset, the calculation gives 0.73 eV per formula unit.

[3]
Below is a relaxed structure of CaTb5Tm4, with properties calculated at the GGA-PBE level.

The structure belongs to space group P4/mmm (No. 123); the cell edges are 3.5497, 3.5497 and 25.3127 Å and the angles 90.00°, 90.00° and 90.00°. The inequivalent atoms are Ca at (0.0000, 0.0000, 0.0000), Tb at (0.5000, 0.5000, 0.1114), Tb at (0.5000, 0.5000, 0.3049), Tb at (0.5000, 0.5000, 0.5000), Tm at (0.0000, 0.0000, 0.2059) and Tm at (0.0000, 0.0000, 0.4021).

The value obtained for the total DFT energy (no corrections) is -4.263 eV/atom.

[4]
Below is a relaxed structure of LaZnRe2, with properties calculated at the GGA-PBE level.

The structure belongs to space group C2/m (No. 12); the cell edges are 5.7421, 9.6303 and 2.8795 Å and the angles 90.00°, 115.04° and 90.00°. The inequivalent atoms are La at (0.0000, 0.0000, 0.0000), Zn at (0.0000, 0.5000, 0.0000) and Re at (0.2500, 0.2500, 0.5000).

The value obtained for the total DFT energy (no corrections) is -7.147 eV/atom.

[5]
Below is a relaxed structure of KBa2Fe, with properties calculated at the GGA-PBE level.

The structure belongs to space group R-3m (No. 166, hexagonal axes); the cell edges are 4.6689, 4.6689 and 33.7528 Å and the angles 90.00°, 90.00° and 120.00°. The inequivalent atoms are K at (0.0000, 0.0000, 0.0000), Ba at (0.0000, 0.0000, 0.2178) and Fe at (0.0000, 0.0000, 0.5000).

For the energy above the most stable polymorph in this dataset, the calculation gives 0.14 eV per formula unit.

[6]
Below is a relaxed structure of HgTeRu2, with properties calculated at the GGA-PBE level.

The structure belongs to space group Pmm2 (No. 25); the cell edges are 2.9590, 3.6961 and 7.4832 Å and the angles 90.00°, 90.00° and 90.00°. The inequivalent atoms are Hg at (0.0000, 0.0000, 0.0000), Te at (0.5000, 0.5000, 0.5954), Ru at (0.0000, 0.0000, 0.3975) and Ru at (0.5000, 0.5000, 0.2284).

For the energy above the most stable polymorph in this dataset, the calculation gives 0.01 eV per formula unit. The formation energy without anion corrections is 1.49 eV per formula unit.

[7]
Below is a relaxed structure of AcGa2Pd4, with properties calculated at the GGA-PBE level.

The structure belongs to space group P4_2/mnm (No. 136); the cell edges are 8.0165, 8.0165 and 4.0669 Å and the angles 90.00°, 90.00° and 90.00°. The inequivalent atoms are Ac at (0.0000, 0.0000, 0.0000), Ga at (0.2232, 0.2232, 0.5000) and Pd at (0.0829, 0.6645, 0.5000).

For the energy above the most stable polymorph in this dataset, the calculation gives 0.00 eV per formula unit.

[8]
Below is a relaxed structure of CaNd2Cu, with properties calculated at the GGA-PBE level.

The structure belongs to space group R-3m (No. 166, hexagonal axes); the cell edges are 3.7226, 3.7226 and 33.2104 Å and the angles 90.00°, 90.00° and 120.00°. The inequivalent atoms are Ca at (0.0000, 0.0000, 0.0000), Nd at (0.0000, 0.0000, 0.1077) and Cu at (0.0000, 0.0000, 0.5000).

For the energy above the most stable polymorph in this dataset, the calculation gives 0.82 eV per formula unit.

[9]
Below is a relaxed structure of Sr3CeU3N8, with properties calculated at the GGA-PBE level.

The structure belongs to space group R-3m (No. 166, hexagonal axes); the cell edges are 7.1048, 7.1048 and 18.0081 Å and the angles 90.00°, 90.00° and 120.00°. The inequivalent atoms are Sr at (0.0000, 0.5000, 0.0000), Ce at (0.0000, 0.0000, 0.5000), U at (0.0000, 0.5000, 0.5000), N at (0.0000, 0.0000, 0.2340) and N at (0.0152, 0.5076, 0.7755).

The formation energy without anion corrections is -17.28 eV per formula unit.

[10]
Below is a relaxed structure of Ac2Nd3Ho4, with properties calculated at the GGA-PBE level.

The structure belongs to space group C2/m (No. 12); the cell edges are 16.7363, 6.0455 and 6.5540 Å and the angles 90.00°, 106.17° and 90.00°. The inequivalent atoms are Ac at (0.1646, 0.0000, 0.3306), Nd at (0.0000, 0.5000, 0.0000), Nd at (0.1052, 0.5000, 0.5785), Ho at (0.0586, 0.0000, 0.7713) and Ho at (0.2242, 0.5000, 0.0951).

For the energy above the most stable polymorph in this dataset, the calculation gives 0.26 eV per formula unit.

[11]
Below is a relaxed structure of La6PrDy12, with properties calculated at the GGA-PBE level.

The structure belongs to space group R-3m (No. 166, hexagonal axes); the cell edges are 13.4119, 13.4119 and 12.7661 Å and the angles 90.00°, 90.00° and 120.00°. The inequivalent atoms are La at (0.0376, 0.5188, 0.1152), Pr at (0.0000, 0.0000, 0.5000), Dy at (0.0000, 0.2543, 0.0000) and Dy at (0.0919, 0.1838, 0.7639).

The value obtained for the total DFT energy (no corrections) is -4.501 eV/atom.

[12]
Below is a relaxed structure of Y2CuBr, with properties calculated at the GGA-PBE level.

The structure belongs to space group Immm (No. 71); the cell edges are 4.3631, 5.6655 and 7.7673 Å and the angles 90.00°, 90.00° and 90.00°. The inequivalent atoms are Y at (0.0000, 0.0000, 0.2493), Cu at (0.0000, 0.5000, 0.5000) and Br at (0.0000, 0.5000, 0.0000).

For the energy above the most stable polymorph in this dataset, the calculation gives 1.10 eV per formula unit. The formation energy without anion corrections is -1.43 eV per formula unit.

[13]
Below is a relaxed structure of DyTa2BC4, with properties calculated at the GGA-PBE level.

The structure belongs to space group Cmcm (No. 63); the cell edges are 3.1599, 10.6931 and 10.5201 Å and the angles 90.00°, 90.00° and 90.00°. The inequivalent atoms are Dy at (0.0000, 0.0952, 0.2500), Ta at (0.0000, 0.3661, 0.0488), B at (0.0000, 0.1720, 0.7500), C at (0.0000, 0.0000, 0.0000), C at (0.0000, 0.2643, 0.6247) and C at (0.0000, 0.4180, 0.2500).

The value obtained for the total DFT energy (no corrections) is -9.280 eV/atom.

[14]
Below is a relaxed structure of Ac2SmSb2O2, with properties calculated at the GGA-PBE level.

The structure belongs to space group I4/mmm (No. 139); the cell edges are 4.5922, 4.5922 and 17.1058 Å and the angles 90.00°, 90.00° and 90.00°. The inequivalent atoms are Ac at (0.0000, 0.0000, 0.1164), Sm at (0.0000, 0.0000, 0.5000), Sb at (0.0000, 0.0000, 0.3134) and O at (0.0000, 0.5000, 0.0000).

The formation energy without anion corrections is -13.63 eV per formula unit.

[15]
Below is a relaxed structure of MnAlTl2, with properties calculated at the GGA-PBE level.

The structure belongs to space group I4/mmm (No. 139); the cell edges are 4.4939, 4.4939 and 8.8302 Å and the angles 90.00°, 90.00° and 90.00°. The inequivalent atoms are Mn at (0.0000, 0.0000, 0.0000), Al at (0.0000, 0.0000, 0.5000) and Tl at (0.0000, 0.5000, 0.2500).

For the energy above the most stable polymorph in this dataset, the calculation gives 0.87 eV per formula unit.

[16]
Below is a relaxed structure of Rb3NaMg2Cl9, with properties calculated at the GGA-PBE level.

The structure belongs to space group P-3m1 (No. 164); the cell edges are 7.2856, 7.2856 and 9.0506 Å and the angles 90.00°, 90.00° and 120.00°. The inequivalent atoms are Rb at (0.0000, 0.0000, 0.0000), Rb at (0.3333, 0.6667, 0.6610), Na at (0.0000, 0.0000, 0.5000), Mg at (0.3333, 0.6667, 0.1628), Cl at (0.0000, 0.5000, 0.0000) and Cl at (0.1734, 0.3468, 0.3187).

The formation energy without anion corrections is -25.92 eV per formula unit.

[17]
Below is a relaxed structure of KVZn2I, with properties calculated at the GGA-PBE level.

The structure belongs to space group P4/mmm (No. 123); the cell edges are 5.1453, 5.1453 and 7.2286 Å and the angles 90.00°, 90.00° and 90.00°. The inequivalent atoms are K at (0.0000, 0.0000, 0.0000), V at (0.0000, 0.0000, 0.5000), Zn at (0.0000, 0.5000, 0.5000) and I at (0.5000, 0.5000, 0.0000).

The formation energy without anion corrections is 1.92 eV per formula unit.

[18]
Below is a relaxed structure of Sr2AgHIr, with properties calculated at the GGA-PBE level.

The structure belongs to space group P4/mmm (No. 123); the cell edges are 5.3344, 5.3344 and 3.7557 Å and the angles 90.00°, 90.00° and 90.00°. The inequivalent atoms are Sr at (0.0000, 0.5000, 0.0000), Ag at (0.0000, 0.0000, 0.5000), H at (0.5000, 0.5000, 0.0000) and Ir at (0.5000, 0.5000, 0.5000).

The value obtained for the total DFT energy (no corrections) is -3.949 eV/atom.

[19]
Below is a relaxed structure of La3HoBi4, with properties calculated at the GGA-PBE level.

The structure belongs to space group Cmmm (No. 65); the cell edges are 9.2851, 13.1397 and 4.6535 Å and the angles 90.00°, 90.00° and 90.00°. The inequivalent atoms are La at (0.0000, 0.0000, 0.0000), La at (0.2500, 0.2500, 0.5000), Ho at (0.0000, 0.5000, 0.0000), Bi at (0.0000, 0.2547, 0.0000) and Bi at (0.2409, 0.5000, 0.5000).

The value obtained for the total DFT energy (no corrections) is -5.353 eV/atom.

[20]
Below is a relaxed structure of CaHCl3, with properties calculated at the GGA-PBE level.

The structure belongs to space group Pm-3m (No. 221); the cell edges are 5.4354, 5.4354 and 5.4354 Å and the angles 90.00°, 90.00° and 90.00°. The inequivalent atoms are Ca at (0.0000, 0.0000, 0.0000), H at (0.5000, 0.5000, 0.5000) and Cl at (0.0000, 0.0000, 0.5000).

For the energy above the most stable polymorph in this dataset, the calculation gives 4.28 eV per formula unit.

[21]
Below is a relaxed structure of Fe3AsRu, with properties calculated at the GGA-PBE level.

The structure belongs to space group Pm-3m (No. 221); the cell edges are 4.3339, 4.3339 and 4.3339 Å and the angles 90.00°, 90.00° and 90.00°. The inequivalent atoms are Fe at (0.0000, 0.0000, 0.5000), As at (0.0000, 0.0000, 0.0000) and Ru at (0.5000, 0.5000, 0.5000).

For the energy above the most stable polymorph in this dataset, the calculation gives 0.00 eV per formula unit.

[22]
Below is a relaxed structure of Ba4Ti2PtO10, with properties calculated at the GGA-PBE level.

The structure belongs to space group Cmce (No. 64); the cell edges are 5.8466, 13.5584 and 13.3122 Å and the angles 90.00°, 90.00° and 90.00°. The inequivalent atoms are Ba at (0.0000, 0.0297, 0.1416), Ba at (0.0000, 0.2342, 0.3953), Ti at (0.0000, 0.1373, 0.6558), Pt at (0.0000, 0.0000, 0.5000), O at (0.0000, 0.0366, 0.3492), O at (0.0000, 0.2301, 0.1499), O at (0.2249, 0.1097, 0.5393) and O at (0.2500, 0.1231, 0.7500).

The formation energy without anion corrections is -44.13 eV per formula unit.

[23]
Below is a relaxed structure of ScCuPd, with properties calculated at the GGA-PBE level.

The structure belongs to space group P-6m2 (No. 187); the cell edges are 4.3763, 4.3763 and 3.0173 Å and the angles 90.00°, 90.00° and 120.00°. The inequivalent atoms are Sc at (0.0000, 0.0000, 0.0000), Cu at (0.3333, 0.6667, 0.5000) and Pd at (0.6667, 0.3333, 0.5000).

For the energy above the most stable polymorph in this dataset, the calculation gives 0.29 eV per formula unit.

| no. | Fermi-level density of states (states/eV/atom) |
| --- | --- |
| 1 | 0.233 |
| 2 | 0.772 |
| 3 | 1.442 |
| 4 | 1.083 |
| 5 | 0.965 |
| 6 | 0.949 |
| 7 | 0.504 |
| 8 | 1.359 |
| 9 | 0.752 |
| 10 | 1.900 |
| 11 | 1.761 |
| 12 | 0.949 |
| 13 | 0.121 |
| 14 | 0.587 |
| 15 | 0.638 |
| 16 | 1.134 |
| 17 | 0.992 |
| 18 | 0.260 |
| 19 | 0.122 |
| 20 | 2.484 |
| 21 | 1.504 |
| 22 | 0.000 |
| 23 | 0.711 |